Entry 1:
# Ac2Ni5B4 PBE relaxed
data_Ac2Ni5B4
_chemical_formula_sum 'Ac2 Ni5 B4'
_cell_length_a 5.256
_cell_length_b 5.602
_cell_length_c 6.340
_cell_angle_alpha 71.02
_cell_angle_beta 65.51
_cell_angle_gamma 62.03
_space_group_name_H-M_alt 'P 1'
_space_group_IT_number 1
loop_
_space_group_symop_operation_xyz
'x,y,z'
loop_
_atom_site_label
_atom_site_fract_x
_atom_site_fract_y
_atom_site_fract_z
_atom_site_occupancy
Ac1 0.275 0.803 0.648 1
Ac2 0.725 0.197 0.352 1
Ni1 0.175 0.279 0.875 1
Ni2 0.825 0.721 0.125 1
Ni3 0.000 0.500 0.500 1
Ni4 0.671 0.279 0.875 1
Ni5 0.329 0.721 0.125 1
B1 0.403 0.065 0.129 1
B2 0.597 0.935 0.871 1
B3 0.779 0.598 0.844 1
B4 0.221 0.402 0.156 1
# * total DFT energy (no corrections): -68.2 eV/f.u.
# * N(E_F): 0.549 states/eV per atom
# * space group: No. 12

***

Entry 2:
# ZrPb2Br PBE relaxed
data_ZrPb2Br
_chemical_formula_sum 'Zr1 Pb2 Br1'
_cell_length_a 5.158
_cell_length_b 3.501
_cell_length_c 6.110
_cell_angle_alpha 73.34
_cell_angle_beta 90.00
_cell_angle_gamma 90.00
_space_group_name_H-M_alt 'P 1'
_space_group_IT_number 1
loop_
_space_group_symop_operation_xyz
'x,y,z'
loop_
_atom_site_label
_atom_site_fract_x
_atom_site_fract_y
_atom_site_fract_z
_atom_site_occupancy
Pb1 0.000 0.964 0.948 1
Pb2 0.500 0.282 0.312 1
Br1 0.500 0.555 0.762 1
Zr1 0.000 0.698 0.478 1
# * distance to the lowest polymorph of the same formula: 196 meV/atom
# * total DFT energy (no corrections): -18.2 eV/f.u.
# * uncorrected formation energy: -0.15 eV/atom
# * N(E_F): 0.495 states/eV per atom
# * space group: No. 6

***

Entry 3:
# DyZrZnPt PBE relaxed
data_DyZrZnPt
_chemical_formula_sum 'Dy1 Zr1 Zn1 Pt1'
_cell_length_a 4.861
_cell_length_b 4.861
_cell_length_c 4.861
_cell_angle_alpha 60.00
_cell_angle_beta 60.00
_cell_angle_gamma 60.00
_space_group_name_H-M_alt 'P 1'
_space_group_IT_number 1
loop_
_space_group_symop_operation_xyz
'x,y,z'
loop_
_atom_site_label
_atom_site_fract_x
_atom_site_fract_y
_atom_site_fract_z
_atom_site_occupancy
Zn1 0.750 0.750 0.750 1
Zr1 0.500 0.500 0.500 1
Pt1 0.250 0.250 0.250 1
Dy1 0.000 0.000 0.000 1
# * total DFT energy (no corrections): -22.9 eV/f.u.
# * N(E_F): 1.072 states/eV per atom
# * space group: No. 216

***

Entry 4:
# Sr3In3Ir2 PBE relaxed
data_Sr3In3Ir2
_chemical_formula_sum 'Sr3 In3 Ir2'
_cell_length_a 4.505
_cell_length_b 5.648
_cell_length_c 9.398
_cell_angle_alpha 81.56
_cell_angle_beta 76.16
_cell_angle_gamma 90.01
_space_group_name_H-M_alt 'P 1'
_space_group_IT_number 1
loop_
_space_group_symop_operation_xyz
'x,y,z'
loop_
_atom_site_label
_atom_site_fract_x
_atom_site_fract_y
_atom_site_fract_z
_atom_site_occupancy
Sr1 0.838 0.439 0.323 1
Sr2 0.162 0.561 0.677 1
Sr3 0.000 0.000 0.000 1
In1 0.364 0.936 0.273 1
In2 0.500 0.500 0.000 1
In3 0.636 0.064 0.727 1
Ir1 0.777 0.934 0.446 1
Ir2 0.223 0.066 0.554 1
# * total DFT energy (no corrections): -33.9 eV/f.u.
# * N(E_F): 0.578 states/eV per atom
# * space group: No. 12

***

Entry 5:
# Gd2PuSn PBE relaxed
data_Gd2PuSn
_chemical_formula_sum 'Gd2 Pu1 Sn1'
_cell_length_a 4.645
_cell_length_b 4.858
_cell_length_c 4.858
_cell_angle_alpha 90.00
_cell_angle_beta 90.00
_cell_angle_gamma 90.00
_space_group_name_H-M_alt 'P 1'
_space_group_IT_number 1
loop_
_space_group_symop_operation_xyz
'x,y,z'
loop_
_atom_site_label
_atom_site_fract_x
_atom_site_fract_y
_atom_site_fract_z
_atom_site_occupancy
Gd1 0.000 0.000 0.500 1
Gd2 0.000 0.500 0.000 1
Sn1 0.500 0.000 0.000 1
Pu1 0.500 0.500 0.500 1
# * distance to the lowest polymorph of the same formula: 0 meV/atom
# * total DFT energy (no corrections): -47.8 eV/f.u.
# * N(E_F): 3.357 states/eV per atom
# * space group: No. 123

***

Entry 6:
# TcPd3O PBE relaxed
data_TcPd3O
_chemical_formula_sum 'Tc1 Pd3 O1'
_cell_length_a 4.236
_cell_length_b 4.236
_cell_length_c 4.236
_cell_angle_alpha 90.00
_cell_angle_beta 90.00
_cell_angle_gamma 90.00
_space_group_name_H-M_alt 'P 1'
_space_group_IT_number 1
loop_
_space_group_symop_operation_xyz
'x,y,z'
loop_
_atom_site_label
_atom_site_fract_x
_atom_site_fract_y
_atom_site_fract_z
_atom_site_occupancy
O1 0.000 0.000 0.000 1
Tc1 0.500 0.500 0.500 1
Pd1 0.000 0.500 0.000 1
Pd2 0.000 0.000 0.500 1
Pd3 0.500 0.000 0.000 1
# * distance to the lowest polymorph of the same formula: 0 meV/atom
# * total DFT energy (no corrections): -28.7 eV/f.u.
# * uncorrected formation energy: 0.45 eV/atom
# * N(E_F): 0.777 states/eV per atom
# * space group: No. 221